Entry 1:
First-principles (PBE) data for crystalline AlHg2SeI at its relaxed geometry, as listed in the Alexandria database.

Summary:
For the uncorrected formation energy, the calculation gives 396 meV per atom. Its space group is No. 123. The electronic total energy comes out at -1.480 eV/atom. As for the total moment: 0.0 μB/cell.

a b c (Å): 5.486 5.486 6.070
angles (deg): 90.00 90.00 90.00
Atoms (fractional coordinates):
Al1 0.000 0.000 0.000
Hg1 0.000 0.500 0.500
Hg2 0.500 0.000 0.500
Se1 0.500 0.500 0.500
I1 0.500 0.500 0.000

Entry 2:
First-principles (PBE) data for crystalline PrDy2HfP4 at its relaxed geometry, as listed in the Alexandria database.

Summary:
Its space group is No. 10. The electronic total energy comes out at -7.168 eV/atom. The energy of formation comes out at -1.4714 eV per atom. As for the total moment: 0.0 μB/cell.

a b c (Å): 6.862 3.966 6.890
angles (deg): 90.00 109.20 90.00
Atoms (fractional coordinates):
Pr1 0.000 0.000 0.000
Dy1 0.500 0.000 0.500
Dy2 0.500 0.500 0.000
Hf1 0.000 0.500 0.500
P1 0.240 0.000 0.732
P2 0.250 0.500 0.266
P3 0.750 0.500 0.734
P4 0.760 0.000 0.268

Entry 3:
First-principles (PBE) data for crystalline Pr2Dy2Te5 at its relaxed geometry, as listed in the Alexandria database.

Summary:
For the energy above the most stable polymorph in this dataset, the calculation gives 101 meV/atom. For the uncorrected formation energy, the calculation gives -1233 meV per atom. Its space group is No. 46. The electronic total energy comes out at -5.063 eV/atom. As for the total moment: 0.0 μB/cell.

a b c (Å): 11.199 11.199 11.199
angles (deg): 62.98 133.73 139.73
Atoms (fractional coordinates):
Pr1 0.071 0.089 0.160
Pr2 0.071 0.411 0.481
Pr3 0.929 0.589 0.519
Pr4 0.929 0.911 0.840
Dy1 0.355 0.712 0.142
Dy2 0.544 0.044 0.500
Dy3 0.544 0.544 0.000
Dy4 0.570 0.212 0.858
Te1 0.011 0.328 0.183
Te2 0.038 0.289 0.822
Te3 0.038 0.716 0.249
Te4 0.144 0.828 0.817
Te5 0.467 0.216 0.178
Te6 0.467 0.789 0.751
Te7 0.506 0.264 0.540
Te8 0.506 0.466 0.742
Te9 0.724 0.764 0.258
Te10 0.724 0.966 0.460

Entry 4:
First-principles (PBE) data for crystalline Y2FeS2 at its relaxed geometry, as listed in the Alexandria database.

Summary:
For the energy above the most stable polymorph in this dataset, the calculation gives 300 meV/atom. For the uncorrected formation energy, the calculation gives -832 meV per atom. Its space group is No. 127. The electronic total energy comes out at -6.761 eV/atom. As for the total moment: 4.7 μB/cell.

a b c (Å): 7.679 7.679 3.526
angles (deg): 90.00 90.00 90.00
Atoms (fractional coordinates):
Y1 0.159 0.341 0.000
Y2 0.341 0.841 0.000
Y3 0.659 0.159 0.000
Y4 0.841 0.659 0.000
Fe1 0.000 0.000 0.000
Fe2 0.500 0.500 0.000
S1 0.143 0.643 0.500
S2 0.357 0.143 0.500
S3 0.643 0.857 0.500
S4 0.857 0.357 0.500

Entry 5:
First-principles (PBE) data for crystalline PrNiTe2 at its relaxed geometry, as listed in the Alexandria database.

Summary:
For the uncorrected formation energy, the calculation gives -220 meV per atom. Its space group is No. 166. The electronic total energy comes out at -4.431 eV/atom. As for the total moment: 0.0 μB/cell.

a b c (Å): 9.462 9.462 9.462
angles (deg): 22.97 22.97 22.97
Atoms (fractional coordinates):
Pr1 0.000 0.000 0.000
Ni1 0.500 0.500 0.500
Te1 0.115 0.115 0.115
Te2 0.885 0.885 0.885

Entry 6:
First-principles (PBE) data for crystalline NbNi3Br at its relaxed geometry, as listed in the Alexandria database.

Summary:
For the energy above the most stable polymorph in this dataset, the calculation gives 0 meV/atom. For the uncorrected formation energy, the calculation gives 1050 meV per atom. Its space group is No. 221. The electronic total energy comes out at -4.767 eV/atom. As for the total moment: 2.3 μB/cell.

a b c (Å): 4.338 4.338 4.338
angles (deg): 90.00 90.00 90.00
Atoms (fractional coordinates):
Nb1 0.000 0.000 0.000
Ni1 0.000 0.500 0.500
Ni2 0.500 0.000 0.500
Ni3 0.500 0.500 0.000
Br1 0.500 0.500 0.500